(1)
First-principles (PBE-GGA) data for a relaxed UMnIn crystal, as listed in Alexandria via LeMat-Bulk.

Unit cell a=6.153 b=6.224 c=6.394 alpha=90.00 beta=90.00 gamma=105.58
Atoms (fractional coordinates):
U 0.474 0.201 0.076
In 0.036 0.787 0.081
In 0.536 0.787 0.419
Mn 0.804 0.539 0.733
U 0.974 0.201 0.424
Mn 0.196 0.461 0.267
Mn 0.304 0.539 0.767
In 0.964 0.213 0.919
Mn 0.696 0.461 0.233
In 0.464 0.213 0.581
U 0.026 0.799 0.576
U 0.526 0.799 0.924

**Crystal system**: monoclinic
**D(E_F)**: 1.161 states/eV/atom
**Symmetry**: P2_1/c
**Calculated formation energy**: 117 meV/atom

---

(2)
First-principles (PBE-GGA) data for a relaxed UMnIn crystal, as listed in Alexandria via LeMat-Bulk.

Unit cell a=3.027 b=3.027 c=6.389 alpha=103.70 beta=103.70 gamma=90.00
Atoms (fractional coordinates):
U 0.303 0.303 0.607
In 0.022 0.022 0.044
Mn 0.675 0.675 0.350

**Crystal system**: tetragonal
**D(E_F)**: 1.108 states/eV/atom
**Symmetry**: I4mm
**Calculated formation energy**: 108 meV/atom

---

(3)
First-principles (PBE-GGA) data for a relaxed Mn3VIn crystal, as listed in Alexandria via LeMat-Bulk.

Unit cell a=4.431 b=4.431 c=4.431 alpha=90.00 beta=90.00 gamma=90.00
Atoms (fractional coordinates):
Mn 0.000 0.500 0.000
Mn 0.000 0.000 0.500
In 0.500 0.500 0.500
V 0.000 0.000 0.000
Mn 0.500 0.000 0.000

**Crystal system**: cubic
**D(E_F)**: 1.064 states/eV/atom
**Symmetry**: Pm-3m
**Calculated formation energy**: 823 meV/atom
**Energy relative to the lowest polymorph listed for this composition**: 0.0000 eV/atom